DFT (PBE) results for a geometry-optimized YGe3Ir structure.

Results
symmetry	Pm-3m (221)
final energy	-5.7388	eV/atom
calculated formation energy	0.10	eV per atom
N(E_F)	1.350	states/eV/cell
magnetic moment	0.00	μB/cell

Lattice parameters (Å, degrees): 4.8579 4.8579 4.8579 90.00 90.00 90.00
Positions (direct):
Ge 0.5000 0.0000 0.0000
Ge 0.0000 0.5000 0.0000
Ge 0.0000 0.0000 0.5000
Y 0.5000 0.5000 0.5000
Ir 0.0000 0.0000 0.0000